Material: PrSmNO
Method: DFT, GGA-PBE
State: optimized geometry

Cell and atoms, written as POSCAR:
```
PrSmNO
1.0
5.103 0.000 0.000
0.000 4.137 0.000
0.000 0.000 7.134
Pr Sm N O
2 2 2 2
Cartesian
1.276 0.000 1.181
3.827 0.000 5.953
1.276 2.069 4.756
3.827 2.069 2.378
1.276 2.069 2.432
3.827 2.069 4.702
1.276 0.000 5.829
3.827 0.000 1.305
```

Uncorrected energy: -7.745 eV/atom
SG: Pmma (51)



Material: PrSmNO
Method: DFT, GGA-PBE
State: optimized geometry

Cell and atoms, written as POSCAR:
```
PrSmNO
1.0
4.369 0.000 0.000
0.000 4.369 0.000
0.000 0.000 8.185
Pr Sm N O
2 2 2 2
Cartesian
1.092 3.277 0.000
3.277 1.092 0.000
1.092 1.092 3.224
3.277 3.277 4.961
1.092 1.092 7.016
3.277 3.277 1.169
1.092 3.277 4.093
3.277 1.092 4.093
```

Uncorrected energy: -7.207 eV/atom
SG: P4/nmm (129)